w:
Li3MnNi | GGA-PBE | relaxed

The structure belongs to space group Pm-3m (No. 221); the cell edges are 4.3369, 4.3369 and 4.3369 Å and the angles 90.00°, 90.00° and 90.00°. The inequivalent atoms are Li at (0.0000, 0.0000, 0.5000), Mn at (0.5000, 0.5000, 0.5000) and Ni at (0.0000, 0.0000, 0.0000).

For the magnetization, the calculation gives 0.08 μB per formula unit.

x:
Li3MnNi | GGA-PBE | relaxed

The structure belongs to space group Pm-3m (No. 221); the cell edges are 4.5915, 4.5915 and 4.5915 Å and the angles 90.00°, 90.00° and 90.00°. The inequivalent atoms are Li at (0.0000, 0.0000, 0.5000), Mn at (0.0000, 0.0000, 0.0000) and Ni at (0.5000, 0.5000, 0.5000).

For the magnetization, the calculation gives 4.24 μB per formula unit.

Going by the computed energies, the most stable comes first: w, x.

w:
LiMnNi | GGA-PBE | relaxed

The structure belongs to space group P6_3/mmc (No. 194); the cell edges are 4.2651, 4.2651 and 4.9570 Å and the angles 90.00°, 90.00° and 120.00°. The inequivalent atoms are Li at (0.0000, 0.0000, 0.0000), Mn at (0.3333, 0.6667, 0.2500) and Ni at (0.3333, 0.6667, 0.7500).

For the magnetization, the calculation gives 4.07 μB per formula unit.

x:
LiMnNi | GGA-PBE | relaxed

The structure belongs to space group Pm (No. 6); the cell edges are 4.1064, 2.8620 and 6.1144 Å and the angles 90.00°, 109.31° and 90.00°. The inequivalent atoms are Li at (0.0000, 0.0000, 0.0000), Li at (0.1668, 0.5000, 0.3373), Mn at (0.6852, 0.0000, 0.3744), Mn at (0.8150, 0.5000, 0.6395), Ni at (0.3335, 0.0000, 0.6754) and Ni at (0.5121, 0.5000, 0.0242).

For the magnetization, the calculation gives 0.00 μB per formula unit.

y:
LiMnNi | GGA-PBE | relaxed

The structure belongs to space group F-43m (No. 216); the cell edges are 5.4746, 5.4746 and 5.4746 Å and the angles 90.00°, 90.00° and 90.00°. The inequivalent atoms are Li at (0.0000, 0.0000, 0.0000), Mn at (0.2500, 0.2500, 0.2500) and Ni at (0.2500, 0.2500, 0.7500).

For the magnetization, the calculation gives 4.33 μB per formula unit.

Going by the computed energies, the most stable comes first: w, x, y.

w:
LiMnNi6 | GGA-PBE | relaxed

The structure belongs to space group R-3m (No. 166, hexagonal axes); the cell edges are 4.7408, 4.7408 and 18.4477 Å and the angles 90.00°, 90.00° and 120.00°. The inequivalent atoms are Li at (0.0000, 0.0000, 0.0000), Mn at (0.0000, 0.0000, 0.5000) and Ni at (0.0063, 0.5032, 0.9374).

For the magnetization, the calculation gives 2.28 μB per formula unit.

x:
LiMnNi6 | GGA-PBE | relaxed

The structure belongs to space group Cmmm (No. 65); the cell edges are 7.0401, 10.0510 and 10.0552 Å and the angles 90.00°, 90.00° and 90.00°. The inequivalent atoms are Li at (0.0000, 0.0000, 0.2493), Li at (0.0000, 0.2528, 0.0000), Mn at (0.0000, 0.2501, 0.5000), Mn at (0.0000, 0.5000, 0.2482), Ni at (0.0000, 0.0000, 0.0000), Ni at (0.0000, 0.0000, 0.5000), Ni at (0.0000, 0.2505, 0.2489), Ni at (0.0000, 0.5000, 0.0000), Ni at (0.0000, 0.5000, 0.5000), Ni at (0.2481, 0.1253, 0.1242) and Ni at (0.2495, 0.1248, 0.3741).

For the magnetization, the calculation gives 6.39 μB per formula unit.

Going by the computed energies, the most stable comes first: x, w.